The following is a DFT calculation (PBE-GGA) of a relaxed structure of EuRe2.

electronic total energy	-11.4995	eV per atom
Fermi-level density of states	12.0	states/eV per cell
ρ	15.08	g/cm³
energy of formation	224	meV per atom
M_tot	7.0	μB per formula unit

Cell and atoms, written as POSCAR:
```
EuRe2
1.0
5.4666 0.0000 0.0000
2.7333 4.7342 0.0000
2.7333 1.5781 4.4635
Eu Re
2 4
Cartesian
0.0000 0.0000 0.0000 Eu
2.7333 1.5781 1.1159 Eu
4.0999 3.9452 2.7897 Re
5.4666 1.5781 2.7897 Re
6.8332 3.9452 2.7897 Re
5.4666 3.1561 0.5579 Re
```